[1]
PBE LiCr2Ni, relaxed; ΔH_f (0 K) = 281 meV per atom
1.0
4.684 0.004 0.014
-2.021 4.349 -0.005
0.643 0.606 2.217
Cr Li Ni
2 1 1
Cartesian
0.000 0.000 0.000
2.664 0.305 1.116
-0.689 2.478 1.106
1.332 2.177 0.005

[2]
PBE BaInFe, relaxed; ΔH_f (0 K) = 291 meV per atom
1.0
6.617 -0.062 0.067
5.608 3.511 0.072
1.008 0.279 3.562
Ba Fe In
1 1 1
Cartesian
12.208 3.445 0.145
4.191 1.179 2.591
9.060 2.555 1.105

[3]
## CsTe2HN (PBE)

Data for CsTe2HN after structural relaxation.

Cell and atoms, written as POSCAR:
```
CsTe2HN
1.0
4.506 0.000 0.000
0.000 4.506 0.000
0.000 0.000 7.053
Cs H Te N
1 1 2 1
Cartesian
2.253 2.253 3.527
0.000 0.000 0.000
0.000 2.253 0.000
2.253 0.000 0.000
0.000 0.000 3.527
```

| no. | V (Å³/cell) | total energy (eV per cell) |
| --- | --- | --- |
| 1 | 45 | -25.82 |
| 2 | 84 | -12.25 |
| 3 | 143 | -14.87 |